# 1
Be5Cu4Pd | PBE | relaxed

a = 2.7360 Å, b = 2.7360 Å, c = 13.5451 Å
α = 90.00°, β = 90.00°, γ = 90.00°
Closest atoms and distances in Å follow each position.
Space group P4/mmm (No. 123)
Unique sites:
Be: 0.0000 0.0000 0.0000 (multiplicity 1)  8 Cu 2.34
Be: 0.0000 0.0000 0.1944 (multiplicity 2)  8 Cu 2.34-2.35
Be: 0.0000 0.0000 0.3906 (multiplicity 2)  4 Cu 2.34, 4 Pd 2.44
Cu: 0.5000 0.5000 0.0972 (multiplicity 2)  8 Be 2.34
Cu: 0.5000 0.5000 0.2929 (multiplicity 2)  8 Be 2.34-2.35
Pd: 0.5000 0.5000 0.5000 (multiplicity 1)  8 Be 2.44

Properties
VASP energy (eV per atom): -4.214
Magnetic moment (μB/cell): 0.0


# 2
HoScGa6 | PBE | relaxed

a = 4.1891 Å, b = 4.1891 Å, c = 8.3667 Å
α = 90.00°, β = 90.00°, γ = 90.00°
Closest atoms and distances in Å follow each position.
Space group P4/mmm (No. 123)
Unique sites:
Ho: 0.0000 0.0000 0.0000 (multiplicity 1)  12 Ga 2.96-3.01
Sc: 0.0000 0.0000 0.5000 (multiplicity 1)  12 Ga 2.91-2.96
Ga: 0.0000 0.5000 0.2581 (multiplicity 4)  8 Ga 2.91-3.01, 2 Sc 2.91, 2 Ho 3.01
Ga: 0.5000 0.5000 0.0000 (multiplicity 1)  4 Ho 2.96, 8 Ga 3.01
Ga: 0.5000 0.5000 0.5000 (multiplicity 1)  8 Ga 2.91, 4 Sc 2.96

Properties
VASP energy (eV per atom): -4.151
Magnetic moment (μB/cell): 0.0
E above lowest polymorph (meV per atom): 0


# 3
Ac2Al4Ir3Rh | PBE | relaxed

a = 4.3638 Å, b = 4.3638 Å, c = 10.4396 Å
α = 90.00°, β = 90.00°, γ = 90.00°
Closest atoms and distances in Å follow each position.
Space group P-4m2 (No. 115)
Unique sites:
Ac: 0.0000 0.5000 0.2416 (multiplicity 2)  2 Rh 3.33, 6 Ir 3.33-3.35, 9 Al 3.35-3.73
Al: 0.0000 0.0000 0.5000 (multiplicity 1)  4 Ir 2.58
Al: 0.0000 0.5000 0.8839 (multiplicity 2)  3 Ir 2.50-2.63, 2 Rh 2.50
Al: 0.5000 0.5000 0.5000 (multiplicity 1)  4 Ir 2.58
Ir: 0.0000 0.0000 0.0000 (multiplicity 1)  4 Al 2.50
Ir: 0.0000 0.5000 0.6323 (multiplicity 2)  5 Al 2.58-2.63
Rh: 0.5000 0.5000 0.0000 (multiplicity 1)  4 Al 2.50

Properties
VASP energy (eV per atom): -6.577
Magnetic moment (μB/cell): 0.0


# 4
TmScZnCr | PBE | relaxed

a = 6.8790 Å, b = 6.8790 Å, c = 6.8790 Å
α = 90.00°, β = 90.00°, γ = 90.00°
Closest atoms and distances in Å follow each position.
Space group F-43m (No. 216)
Unique sites:
Tm: 0.0000 0.0000 0.0000 (multiplicity 4)  4 Cr 2.98, 4 Zn 2.98
Sc: 0.0000 0.0000 0.5000 (multiplicity 4)  4 Cr 2.98, 4 Zn 2.98
Zn: 0.2500 0.2500 0.2500 (multiplicity 4)  4 Tm 2.98, 4 Sc 2.98
Cr: 0.2500 0.2500 0.7500 (multiplicity 4)  4 Tm 2.98, 4 Sc 2.98

Properties
VASP energy (eV per atom): -5.426
Magnetic moment (μB/cell): 13.8